Computed, not measured: Y3HPb after structural relaxation at the PBE-GGA level of DFT.

## Properties
Theoretical density in g/cm³: 6.5
N(E_F) in states/eV/atom: 1.19
Uncorrected energy in eV/atom: -5.425
V in Å³/cell: 242.2

Unit cell a=5.4040 b=5.4040 c=9.5750 alpha=90.00 beta=90.00 gamma=120.00
Last column: nearest neighbours and their distance in Å.
Positions (direct):
Y 0.0000 0.0000 0.2500  2 H 2.39
Y 0.0000 0.0000 0.7500  2 H 2.39
Y 0.3333 0.6667 0.0849  7 Y 3.16-3.52, 4 Pb 3.21-3.50, 3 H 3.22
Y 0.3333 0.6667 0.4151  7 Y 3.16-3.52, 4 Pb 3.21-3.50, 3 H 3.22
Y 0.6667 0.3333 0.5849  7 Y 3.16-3.52, 4 Pb 3.21-3.50, 3 H 3.22
Y 0.6667 0.3333 0.9151  7 Y 3.16-3.52, 4 Pb 3.21-3.50, 3 H 3.22
H 0.0000 0.0000 0.0000  2 Y 2.39
H 0.0000 0.0000 0.5000  2 Y 2.39
Pb 0.3333 0.6667 0.7500  5 Y 3.12-3.21
Pb 0.6667 0.3333 0.2500  5 Y 3.12-3.21